# 1
# ZrAl2Te, relaxed, DFT PBEsol
data_ZrAl2Te
_chemical_formula_sum 'Zr2 Al4 Te2'
_cell_length_a 10.206
_cell_length_b 3.485
_cell_length_c 5.046
_cell_angle_alpha 90.00
_cell_angle_beta 115.98
_cell_angle_gamma 90.00
_symmetry_space_group_name_H-M 'C 1 m 1'
_symmetry_Int_Tables_number 8
loop_
_symmetry_equiv_pos_as_xyz
'x,y,z'
'x,-y,z'
'x+1/2,y+1/2,z'
'x+1/2,-y+1/2,z'
loop_
_atom_site_label
_atom_site_fract_x
_atom_site_fract_y
_atom_site_fract_z
Zr1 0.000 0.000 0.000
Al1 0.248 0.500 0.398
Al2 0.492 0.000 0.512
Te1 0.262 0.000 0.913
# N(E_F): 0.471 states/eV per atom
# Total DFT energy (no corrections): -5.47 eV per atom
# Energy relative to the elements, uncorrected: -0.2689 eV/atom
# Size of the total moment: 0.0000 μB/atom

=====

# 2
# AcOF, relaxed, DFT PBEsol
data_AcOF
_chemical_formula_sum 'Ac4 O4 F4'
_cell_length_a 5.896
_cell_length_b 5.896
_cell_length_c 5.896
_cell_angle_alpha 90.00
_cell_angle_beta 90.00
_cell_angle_gamma 90.00
_symmetry_space_group_name_H-M 'F -4 3 m'
_symmetry_Int_Tables_number 216
_symmetry_space_group_name_Hall 'F -4 2 3'
loop_
_atom_site_label
_atom_site_fract_x
_atom_site_fract_y
_atom_site_fract_z
Ac1 0.000 0.000 0.000
O1 0.250 0.250 0.750
F1 0.250 0.250 0.250
# N(E_F): 0.000 states/eV per atom
# Total DFT energy (no corrections): -7.70 eV per atom
# Energy relative to the elements, uncorrected: -3.8090 eV/atom
# Size of the total moment: 0.0002 μB/atom

=====

# 3
# Mn3AgHg, relaxed, DFT PBEsol
data_Mn3AgHg
_chemical_formula_sum 'Mn3 Ag1 Hg1'
_cell_length_a 4.838
_cell_length_b 4.838
_cell_length_c 4.838
_cell_angle_alpha 90.00
_cell_angle_beta 90.00
_cell_angle_gamma 90.00
_symmetry_space_group_name_H-M 'P m -3 m'
_symmetry_Int_Tables_number 221
_symmetry_space_group_name_Hall '-P 4 2 3'
loop_
_atom_site_label
_atom_site_fract_x
_atom_site_fract_y
_atom_site_fract_z
Mn1 0.000 0.000 0.500
Ag1 0.000 0.000 0.000
Hg1 0.500 0.500 0.500
# N(E_F): 1.180 states/eV per atom
# Total DFT energy (no corrections): -5.31 eV per atom
# Formation energy from the elements: 1.3211 eV per atom
# Size of the total moment: 2.6104 μB/atom

=====

# 4
# TaCrRe2, relaxed, DFT PBEsol
data_TaCrRe2
_chemical_formula_sum 'Ta3 Cr3 Re6'
_cell_length_a 2.7533
_cell_length_b 2.7533
_cell_length_c 26.8574
_cell_angle_alpha 90.00
_cell_angle_beta 90.00
_cell_angle_gamma 120.00
_symmetry_space_group_name_H-M 'R -3 m'
_symmetry_Int_Tables_number 166
_symmetry_space_group_name_Hall '-R 3 2"'
loop_
_atom_site_label
_atom_site_fract_x
_atom_site_fract_y
_atom_site_fract_z
Ta1 0.0000 0.0000 0.0000
Cr1 0.0000 0.0000 0.5000
Re1 0.0000 0.0000 0.2425
# N(E_F): 1.092 states/eV per atom
# Total DFT energy (no corrections): -12.14 eV per atom
# Formation energy from the elements: 0.2197 eV per atom
# Size of the total moment: 0.0001 μB/atom

=====

# 5
# Sr2CdTe, relaxed, DFT PBEsol
data_Sr2CdTe
_chemical_formula_sum 'Sr2 Cd1 Te1'
_cell_length_a 5.579
_cell_length_b 5.579
_cell_length_c 4.089
_cell_angle_alpha 90.00
_cell_angle_beta 90.00
_cell_angle_gamma 90.00
_symmetry_space_group_name_H-M 'P 4/m m m'
_symmetry_Int_Tables_number 123
_symmetry_space_group_name_Hall '-P 4 2'
loop_
_atom_site_label
_atom_site_fract_x
_atom_site_fract_y
_atom_site_fract_z
Sr1 0.000 0.500 0.000
Cd1 0.000 0.000 0.500
Te1 0.500 0.500 0.500
# N(E_F): 0.566 states/eV per atom
# Total DFT energy (no corrections): -2.93 eV per atom
# Energy relative to the elements, uncorrected: -0.8325 eV/atom
# Size of the total moment: 0.0000 μB/atom

=====

# 6
# KZrAg2, relaxed, DFT PBEsol
data_KZrAg2
_chemical_formula_sum 'K2 Zr2 Ag4'
_cell_length_a 4.240
_cell_length_b 4.240
_cell_length_c 9.799
_cell_angle_alpha 90.00
_cell_angle_beta 90.00
_cell_angle_gamma 90.00
_symmetry_space_group_name_H-M 'I -4 m 2'
_symmetry_Int_Tables_number 119
_symmetry_space_group_name_Hall 'I -4 -2'
loop_
_atom_site_label
_atom_site_fract_x
_atom_site_fract_y
_atom_site_fract_z
K1 0.000 0.000 0.000
Zr1 0.000 0.500 0.250
Ag1 0.000 0.000 0.500
Ag2 0.000 0.500 0.750
# N(E_F): 1.099 states/eV per atom
# Total DFT energy (no corrections): -3.56 eV per atom
# Formation energy from the elements: 0.6505 eV per atom
# Size of the total moment: 0.3522 μB/atom

=====

# 7
# UP2S6, relaxed, DFT PBEsol
data_UP2S6
_chemical_formula_sum 'U2 P4 S12'
_cell_length_a 6.887
_cell_length_b 6.887
_cell_length_c 9.524
_cell_angle_alpha 90.00
_cell_angle_beta 90.00
_cell_angle_gamma 90.00
_symmetry_space_group_name_H-M 'P 42/m'
_symmetry_Int_Tables_number 84
loop_
_symmetry_equiv_pos_as_xyz
'x,y,z'
'-x,-y,-z'
'-y,x,z+1/2'
'y,-x,-z+1/2'
'-x,-y,z'
'x,y,-z'
'y,-x,z+1/2'
'-y,x,-z+1/2'
loop_
_atom_site_label
_atom_site_fract_x
_atom_site_fract_y
_atom_site_fract_z
U1 0.000 0.000 0.250
P1 0.061 0.346 0.000
S1 0.169 0.178 0.500
S2 0.214 0.316 0.179
# N(E_F): 1.024 states/eV per atom
# Total DFT energy (no corrections): -6.15 eV per atom
# Energy relative to the elements, uncorrected: -0.5898 eV/atom
# Size of the total moment: 0.2222 μB/atom

=====

# 8
# Mg3Se5, relaxed, DFT PBEsol
data_Mg3Se5
_chemical_formula_sum 'Mg3 Se5'
_cell_length_a 3.630
_cell_length_b 3.630
_cell_length_c 13.041
_cell_angle_alpha 90.00
_cell_angle_beta 90.00
_cell_angle_gamma 90.00
_symmetry_space_group_name_H-M 'P 4/m m m'
_symmetry_Int_Tables_number 123
_symmetry_space_group_name_Hall '-P 4 2'
loop_
_atom_site_label
_atom_site_fract_x
_atom_site_fract_y
_atom_site_fract_z
Mg1 0.000 0.000 0.000
Mg2 0.500 0.500 0.361
Se1 0.000 0.000 0.291
Se2 0.000 0.000 0.500
Se3 0.500 0.500 0.096
# N(E_F): 0.352 states/eV per atom
# Total DFT energy (no corrections): -3.64 eV per atom
# Energy relative to the elements, uncorrected: -0.5938 eV/atom
# Size of the total moment: 0.0000 μB/atom

=====

# 9
# FeNi2, relaxed, DFT PBEsol
data_FeNi2
_chemical_formula_sum 'Fe4 Ni8'
_cell_length_a 9.138
_cell_length_b 2.464
_cell_length_c 5.856
_cell_angle_alpha 90.00
_cell_angle_beta 105.28
_cell_angle_gamma 90.00
_symmetry_space_group_name_H-M 'C 1 m 1'
_symmetry_Int_Tables_number 8
loop_
_symmetry_equiv_pos_as_xyz
'x,y,z'
'x,-y,z'
'x+1/2,y+1/2,z'
'x+1/2,-y+1/2,z'
loop_
_atom_site_label
_atom_site_fract_x
_atom_site_fract_y
_atom_site_fract_z
Fe1 0.000 0.000 0.000
Fe2 0.170 0.500 0.337
Ni1 0.056 0.000 0.610
Ni2 0.222 0.500 0.945
Ni3 0.335 0.000 0.670
Ni4 0.391 0.000 0.279
# N(E_F): 0.940 states/eV per atom
# Total DFT energy (no corrections): -7.10 eV per atom
# Formation energy from the elements: -0.0099 eV per atom
# Size of the total moment: 1.2698 μB/atom

=====

# 10
# CuSnB2Rh, relaxed, DFT PBEsol
data_CuSnB2Rh
_chemical_formula_sum 'Cu1 Sn1 B2 Rh1'
_cell_length_a 3.745
_cell_length_b 3.745
_cell_length_c 5.078
_cell_angle_alpha 90.00
_cell_angle_beta 90.00
_cell_angle_gamma 90.00
_symmetry_space_group_name_H-M 'P 4/m m m'
_symmetry_Int_Tables_number 123
_symmetry_space_group_name_Hall '-P 4 2'
loop_
_atom_site_label
_atom_site_fract_x
_atom_site_fract_y
_atom_site_fract_z
Cu1 0.000 0.000 0.000
Sn1 0.500 0.500 0.500
B1 0.000 0.500 0.000
Rh1 0.000 0.000 0.500
# N(E_F): 0.317 states/eV per atom
# Total DFT energy (no corrections): -5.25 eV per atom
# Formation energy from the elements: 0.9076 eV per atom
# Size of the total moment: 0.0000 μB/atom

=====

# 11
# AgOsAu, relaxed, DFT PBEsol
data_AgOsAu
_chemical_formula_sum 'Ag1 Os1 Au1'
_cell_length_a 2.7674
_cell_length_b 2.7674
_cell_length_c 7.0332
_cell_angle_alpha 90.00
_cell_angle_beta 90.00
_cell_angle_gamma 120.00
_symmetry_space_group_name_H-M 'P 3 m 1'
_symmetry_Int_Tables_number 156
loop_
_symmetry_equiv_pos_as_xyz
'x,y,z'
'-y,x-y,z'
'-x+y,-x,z'
'-y,-x,z'
'-x+y,y,z'
'x,x-y,z'
loop_
_atom_site_label
_atom_site_fract_x
_atom_site_fract_y
_atom_site_fract_z
Ag1 0.0000 0.0000 0.0000
Os1 0.6667 0.3333 0.3301
Au1 0.3333 0.6667 0.6585
# N(E_F): 0.787 states/eV per atom
# Total DFT energy (no corrections): -6.03 eV per atom
# Formation energy from the elements: 0.4558 eV per atom
# Size of the total moment: 0.0001 μB/atom

=====

# 12
# MgMn2Cl, relaxed, DFT PBEsol
data_MgMn2Cl
_chemical_formula_sum 'Mg3 Mn6 Cl3'
_cell_length_a 3.0551
_cell_length_b 3.0551
_cell_length_c 24.7855
_cell_angle_alpha 90.00
_cell_angle_beta 90.00
_cell_angle_gamma 120.00
_symmetry_space_group_name_H-M 'R -3 m'
_symmetry_Int_Tables_number 166
_symmetry_space_group_name_Hall '-R 3 2"'
loop_
_atom_site_label
_atom_site_fract_x
_atom_site_fract_y
_atom_site_fract_z
Mg1 0.0000 0.0000 0.0000
Mn1 0.0000 0.0000 0.2440
Cl1 0.0000 0.0000 0.5000
# N(E_F): 0.282 states/eV per atom
# Total DFT energy (no corrections): -5.57 eV per atom
# Energy relative to the elements, uncorrected: 0.2412 eV/atom
# Size of the total moment: 1.9430 μB/atom